Density functional theory data (PBE) for a geometry-optimized Ac2TmGaPd6 structure. Values from VASP.

```
&SYSTEM
  ibrav = 0, nat = 10, ntyp = 4
/
ATOMIC_SPECIES
Ac 227.00 Ac.upf
Tm 168.93 Tm.upf
Ga 69.72 Ga.upf
Pd 106.42 Pd.upf
CELL_PARAMETERS angstrom
5.902 0.063 0.043
-0.104 8.700 1.943
2.848 5.793 6.145
ATOMIC_POSITIONS angstrom
Ac 5.834 4.444 3.121
Ac 2.813 10.112 5.009
Tm 0.000 0.000 0.000
Ga 2.899 4.382 0.993
Pd 2.874 4.919 3.476
Pd 7.210 12.217 7.526
Pd 4.234 12.183 7.503
Pd 4.413 2.374 0.627
Pd 1.437 2.340 0.604
Pd 5.773 9.637 4.654
```

SG: No. 12
crystal system: monoclinic
calculated formation energy: -0.641 eV per atom